[1]
# Sr2Al4PdAu3 (PBE, relaxed)
data_Sr2Al4PdAu3
_chemical_formula_sum 'Sr2 Al4 Pd1 Au3'
_cell_length_a 4.4914
_cell_length_b 4.4914
_cell_length_c 10.5872
_cell_angle_alpha 90.00
_cell_angle_beta 90.00
_cell_angle_gamma 90.00
_symmetry_space_group_name_H-M 'P -4 m 2'
_symmetry_Int_Tables_number 115
_symmetry_space_group_name_Hall 'P -4 -2'
loop_
_atom_site_label
_atom_site_type_symbol
_atom_site_fract_x
_atom_site_fract_y
_atom_site_fract_z
_atom_site_occupancy
Sr1 Sr 0.0000 0.5000 0.2475 1
Al1 Al 0.0000 0.0000 0.5000 1
Al2 Al 0.0000 0.5000 0.8808 1
Al3 Al 0.5000 0.5000 0.5000 1
Pd1 Pd 0.5000 0.5000 0.0000 1
Au1 Au 0.0000 0.0000 0.0000 1
Au2 Au 0.0000 0.5000 0.6336 1
# Final energy: -4.0150 eV per atom
# Size of the total moment: 0.0000 μB per atom
# DOS at the Fermi energy: 0.523 states/eV/atom
# Formation enthalpy at 0 K: -0.68 eV per atom



[2]
# SrAlPdAu6 (PBE, relaxed)
data_SrAlPdAu6
_chemical_formula_sum 'Sr4 Al4 Pd4 Au24'
_cell_length_a 7.5218
_cell_length_b 7.6099
_cell_length_c 16.6665
_cell_angle_alpha 90.00
_cell_angle_beta 90.00
_cell_angle_gamma 90.00
_symmetry_space_group_name_H-M 'I m m a'
_symmetry_Int_Tables_number 74
_symmetry_space_group_name_Hall '-I 2b 2'
loop_
_atom_site_label
_atom_site_type_symbol
_atom_site_fract_x
_atom_site_fract_y
_atom_site_fract_z
_atom_site_occupancy
Sr1 Sr 0.0000 0.2500 0.1882 1
Al1 Al 0.2500 0.2500 0.7500 1
Pd1 Pd 0.0000 0.0000 0.5000 1
Au1 Au 0.0000 0.2500 0.3830 1
Au2 Au 0.0000 0.2500 0.8547 1
Au3 Au 0.1981 0.0469 0.6342 1
# Final energy: -3.5234 eV per atom
# Size of the total moment: 0.0000 μB per atom
# DOS at the Fermi energy: 0.354 states/eV/atom
# Formation enthalpy at 0 K: -0.16 eV per atom



[3]
# Sr2Al3PdAu12 (PBE, relaxed)
data_Sr2Al3PdAu12
_chemical_formula_sum 'Sr6 Al9 Pd3 Au36'
_cell_length_a 8.6935
_cell_length_b 8.6935
_cell_length_c 19.8292
_cell_angle_alpha 90.00
_cell_angle_beta 90.00
_cell_angle_gamma 120.00
_symmetry_space_group_name_H-M 'R -3 m'
_symmetry_Int_Tables_number 166
_symmetry_space_group_name_Hall '-R 3 2"'
loop_
_atom_site_label
_atom_site_type_symbol
_atom_site_fract_x
_atom_site_fract_y
_atom_site_fract_z
_atom_site_occupancy
Sr1 Sr 0.0000 0.0000 0.1168 1
Al1 Al 0.0000 0.5000 0.0000 1
Pd1 Pd 0.0000 0.0000 0.5000 1
Au1 Au 0.0008 0.5004 0.1251 1
Au2 Au 0.0235 0.5117 0.3672 1
# Final energy: -3.4434 eV per atom
# Size of the total moment: 0.0000 μB per atom
# DOS at the Fermi energy: 0.360 states/eV/atom
# Formation enthalpy at 0 K: -0.16 eV per atom



[4]
# TbAl2Pd2Au (PBE, relaxed)
data_TbAl2Pd2Au
_chemical_formula_sum 'Tb1 Al2 Pd2 Au1'
_cell_length_a 4.7129
_cell_length_b 4.7129
_cell_length_c 5.6439
_cell_angle_alpha 90.00
_cell_angle_beta 90.00
_cell_angle_gamma 90.00
_symmetry_space_group_name_H-M 'P 4/m m m'
_symmetry_Int_Tables_number 123
_symmetry_space_group_name_Hall '-P 4 2'
loop_
_atom_site_label
_atom_site_type_symbol
_atom_site_fract_x
_atom_site_fract_y
_atom_site_fract_z
_atom_site_occupancy
Tb1 Tb 0.0000 0.0000 0.0000 1
Al1 Al 0.0000 0.5000 0.5000 1
Pd1 Pd 0.5000 0.5000 0.2455 1
Au1 Au 0.0000 0.0000 0.5000 1
# Final energy: -4.6586 eV per atom
# Size of the total moment: 0.0000 μB per atom
# DOS at the Fermi energy: 0.595 states/eV/atom
# Formation enthalpy at 0 K: -0.36 eV per atom



[5]
# Tb2Al4PdAu3 (PBE, relaxed)
data_Tb2Al4PdAu3
_chemical_formula_sum 'Tb2 Al4 Pd1 Au3'
_cell_length_a 4.2987
_cell_length_b 4.2987
_cell_length_c 10.5881
_cell_angle_alpha 90.00
_cell_angle_beta 90.00
_cell_angle_gamma 90.00
_symmetry_space_group_name_H-M 'P -4 m 2'
_symmetry_Int_Tables_number 115
_symmetry_space_group_name_Hall 'P -4 -2'
loop_
_atom_site_label
_atom_site_type_symbol
_atom_site_fract_x
_atom_site_fract_y
_atom_site_fract_z
_atom_site_occupancy
Tb1 Tb 0.0000 0.5000 0.2489 1
Al1 Al 0.0000 0.0000 0.5000 1
Al2 Al 0.0000 0.5000 0.8721 1
Al3 Al 0.5000 0.5000 0.5000 1
Pd1 Pd 0.5000 0.5000 0.0000 1
Au1 Au 0.0000 0.0000 0.0000 1
Au2 Au 0.0000 0.5000 0.6372 1
# Final energy: -4.6863 eV per atom
# Size of the total moment: 0.0000 μB per atom
# DOS at the Fermi energy: 0.527 states/eV/atom
# Formation enthalpy at 0 K: -0.76 eV per atom



[6]
# Tb2Al4Pd3Au (PBE, relaxed)
data_Tb2Al4Pd3Au
_chemical_formula_sum 'Tb2 Al4 Pd3 Au1'
_cell_length_a 4.2018
_cell_length_b 4.2018
_cell_length_c 10.7670
_cell_angle_alpha 90.00
_cell_angle_beta 90.00
_cell_angle_gamma 90.00
_symmetry_space_group_name_H-M 'P -4 m 2'
_symmetry_Int_Tables_number 115
_symmetry_space_group_name_Hall 'P -4 -2'
loop_
_atom_site_label
_atom_site_type_symbol
_atom_site_fract_x
_atom_site_fract_y
_atom_site_fract_z
_atom_site_occupancy
Tb1 Tb 0.0000 0.5000 0.2427 1
Al1 Al 0.0000 0.0000 0.0000 1
Al2 Al 0.0000 0.5000 0.6355 1
Al3 Al 0.5000 0.5000 0.0000 1
Pd1 Pd 0.0000 0.5000 0.8655 1
Pd2 Pd 0.5000 0.5000 0.5000 1
Au1 Au 0.0000 0.0000 0.5000 1
# Final energy: -5.1285 eV per atom
# Size of the total moment: 0.0000 μB per atom
# DOS at the Fermi energy: 0.482 states/eV/atom
# Formation enthalpy at 0 K: -0.82 eV per atom